[1]
La2YAu2 | Alexandria via LeMat-Bulk | SCAN | single point on PBEsol structure; E_form = -886 meV per atom; SG = No. 127; calculated volume = 26.84 Å³ per atom
1.0
3.9274 0.0000 0.0000
0.0000 8.2664 0.0000
0.0000 0.0000 8.2664
Y Au La
2 4 4
Cartesian
0.0000 0.0000 0.0000
0.0000 4.1332 4.1332
0.0000 3.0580 7.1912
0.0000 7.1912 5.2084
0.0000 5.2084 1.0752
0.0000 1.0752 3.0580
1.9637 1.3823 5.5155
1.9637 5.5155 6.8842
1.9637 6.8842 2.7509
1.9637 2.7509 1.3823

[2]
LaYAu2 | Alexandria via LeMat-Bulk | SCAN | single point on PBEsol structure; E_form = -1097 meV per atom; SG = No. 38; calculated volume = 24.73 Å³ per atom
1.0
-3.2100 -1.7588 -1.1359
-0.5860 -1.7088 4.3020
-1.3363 5.3576 1.9461
Y Au La
1 2 1
Cartesian
-3.4387 0.6119 2.3049
-0.5243 -0.5023 2.2594
-1.2492 1.9019 0.5853
-2.8615 4.3567 1.3408

[3]
LaZnAu2 | Alexandria via LeMat-Bulk | SCAN | single point on PBEsol structure; E_form = -713 meV per atom; SG = No. 160; calculated volume = 21.51 Å³ per atom
1.0
4.5241 0.0000 0.0000
2.2620 3.9180 0.0000
2.2620 1.3060 4.8540
Zn Au La
1 2 1
Cartesian
6.7861 3.9180 4.3379
2.2620 1.3060 4.3457
2.2620 1.3060 0.7944
4.5241 2.6120 2.5352

[4]
LaZnAu | Alexandria via LeMat-Bulk | SCAN | single point on PBEsol structure; E_form = -834 meV per atom; SG = No. 187; calculated volume = 22.24 Å³ per atom
1.0
-0.3061 -2.9220 -2.1857
4.5302 0.0594 -0.7138
-1.7411 -2.4231 3.4832
Zn Au La
1 1 1
Cartesian
0.1963 -3.0566 0.9913
-0.1530 -1.4610 -1.0929
2.4398 -0.7681 0.6852

[5]
LaZn2Au2 | Alexandria via LeMat-Bulk | SCAN | single point on PBEsol structure; E_form = -669 meV per atom; SG = No. 139; calculated volume = 20.07 Å³ per atom
1.0
4.6312 0.0000 0.0000
0.0000 4.6312 0.0000
-2.3156 -2.3156 4.6795
Zn Au La
2 2 1
Cartesian
0.0000 0.0000 3.4826
2.3156 2.3156 1.1969
0.0000 2.3156 2.3398
2.3156 0.0000 2.3398
0.0000 0.0000 0.0000

[6]
LaZr2Au2 | Alexandria via LeMat-Bulk | SCAN | single point on PBEsol structure; E_form = -409 meV per atom; SG = No. 139; calculated volume = 24.74 Å³ per atom
1.0
-3.4768 3.5470 -1.4336
-0.4010 -5.2416 -2.6755
-3.8170 -3.0857 1.6228
Au Zr La
2 2 1
Cartesian
-5.6709 -2.2748 -1.1958
-2.0239 -2.5055 -1.2904
-3.7180 -0.3621 -1.1996
-3.9768 -4.4182 -1.2866
0.0000 0.0000 0.0000

[7]
LaZrAu2 | Alexandria via LeMat-Bulk | SCAN | single point on PBEsol structure; E_form = -692 meV per atom; SG = No. 166; calculated volume = 24.53 Å³ per atom
1.0
-1.1521 2.3903 -2.8106
-3.7475 0.2424 -0.9155
-2.5166 6.4331 3.8448
Au La Zr
2 1 1
Cartesian
-1.8264 2.0927 -0.1294
-5.5898 6.9732 0.2481
-3.7081 4.5329 0.0593
0.0000 0.0000 0.0000

[8]
LaZrAu2 | Alexandria via LeMat-Bulk | SCAN | single point on PBEsol structure; E_form = -828 meV per atom; SG = No. 123; calculated volume = 22.16 Å³ per atom
1.0
-0.7565 3.1691 1.2025
-3.3492 -0.8885 0.2349
1.1046 -2.3456 6.8768
Au Zr La
2 1 1
Cartesian
0.7799 -1.6562 4.8555
0.3247 -0.6894 2.0213
-1.5005 -0.0325 4.1571
-2.0528 1.1403 0.7187

[9]
Li2Au | Alexandria via LeMat-Bulk | SCAN | single point on PBEsol structure; E_form = -554 meV per atom; SG = No. 62; calculated volume = 14.77 Å³ per atom
1.0
-3.9178 0.9714 0.4121
-0.9844 -4.8752 2.1332
1.5002 2.9227 7.3719
Au Li
4 8
Cartesian
-2.8921 -1.6935 6.4573
-1.4875 -2.6709 2.1410
-1.9145 1.6899 7.7762
-0.5099 0.7124 3.4599
-2.9740 -0.5492 2.9815
0.0471 1.9724 5.7849
-3.4491 -2.9534 4.1323
-0.4279 -0.4318 6.9357
-2.4100 0.7326 5.3214
-1.0110 -0.2720 1.0170
-2.3910 -0.7090 8.9002
-0.9919 -1.7136 4.5958

[10]
Li2Au | Alexandria via LeMat-Bulk | SCAN | single point on PBEsol structure; E_form = -534 meV per atom; SG = No. 194; calculated volume = 15.03 Å³ per atom
1.0
-0.3577 4.3765 0.5017
-3.5926 -2.4268 -0.8581
-0.8000 -0.6649 5.2297
Au Li
2 4
Cartesian
-3.1143 -0.6577 3.5174
-1.6360 1.9425 1.3558
0.0000 0.0000 0.0000
-0.4000 -0.3324 2.6148
-2.0360 1.6100 3.9707
-2.7143 -0.3253 0.9026

[11]
Li5Au4 | Alexandria via LeMat-Bulk | SCAN | single point on PBEsol structure; E_form = -547 meV per atom; SG = No. 193; calculated volume = 15.06 Å³ per atom
1.0
-1.5435 -2.5120 4.4642
4.5439 -5.8993 -1.7485
2.7022 5.7964 4.1959
Au Li
8 10
Cartesian
0.0000 0.0000 0.0000
-0.7717 -1.2560 2.2321
-0.1571 0.2623 4.9018
0.5249 -4.0683 2.7007
3.4054 -1.9488 4.8894
1.3157 3.0222 3.7583
2.4755 -4.3429 0.0150
2.2971 -0.6661 2.0223
0.7369 2.1799 6.2899
2.0281 -6.0200 2.1223
1.0082 -1.9147 4.0797
0.4218 1.1045 2.3702
0.9723 -2.3913 0.5934
4.6943 -0.7001 2.8319
3.3161 1.8978 2.2144
3.1582 -3.2567 2.4651
3.9300 -2.0007 0.2330
2.5443 0.6419 4.4465

[12]
Li2Au | Alexandria via LeMat-Bulk | SCAN | single point on PBEsol structure; E_form = -469 meV per atom; SG = No. 12; calculated volume = 15.54 Å³ per atom
1.0
2.7691 0.0000 0.0000
0.0000 5.4240 0.0373
-1.3845 -1.7129 6.1952
Au Li
2 4
Cartesian
1.3845 -0.0556 1.9800
0.0000 3.7666 4.2526
1.3845 2.4726 6.1485
0.0000 0.9993 4.0248
0.0000 1.2384 0.0841
1.3845 2.7118 2.2078